No. 1
! AcTaIn | Alexandria via LeMat-Bulk | PBE-GGA | optimized geometry; values from VASP
! - formation enthalpy at 0 K (eV/f.u.) = 1.59
! - volume (Å³/cell) = 160.1
! - total moment (Bohr magnetons per cell) = 0.00
&SYSTEM
  ibrav = 0, nat = 6, ntyp = 3
/
ATOMIC_SPECIES
Ac 227.00 Ac.upf
Ta 180.95 Ta.upf
In 114.82 In.upf
CELL_PARAMETERS angstrom
16.3781 0.0000 0.0000
0.0000 1.6803 2.9085
0.0000 -1.6803 2.9085
ATOMIC_POSITIONS angstrom
Ac 3.0856 0.0000 0.0000
Ac 13.2924 0.0000 0.0000
Ta 5.8437 0.0000 3.8716
Ta 10.5344 0.0000 3.8716
In 0.0000 0.0000 3.8779
In 8.1890 0.0000 5.8100



No. 2
! KLaCl | Alexandria via LeMat-Bulk | PBE-GGA | optimized geometry; values from VASP
! - volume (Å³/cell) = 100.3
! - ΔE_f (raw) (eV/atom) = -0.840
! - total moment (Bohr magnetons per cell) = 0.00
! - ΔE to the lowest computed polymorph (eV/atom) = 0.100
&SYSTEM
  ibrav = 0, nat = 3, ntyp = 3
/
ATOMIC_SPECIES
K 39.10 K.upf
La 138.91 La.upf
Cl 35.45 Cl.upf
CELL_PARAMETERS angstrom
-1.7873 1.7873 7.8532
1.7873 -1.7873 7.8532
1.7873 1.7873 -7.8532
ATOMIC_POSITIONS angstrom
K 0.0000 0.0000 0.0000
La 0.0000 0.0000 4.2051
Cl 0.0000 0.0000 10.0727



Question: What is the formula in the first record?
Answer: AcTaIn



What did the first record say?
! AcTaIn | Alexandria via LeMat-Bulk | PBE-GGA | optimized geometry; values from VASP
! - formation enthalpy at 0 K (eV/f.u.) = 1.59
! - volume (Å³/cell) = 160.1
! - total moment (Bohr magnetons per cell) = 0.00
&SYSTEM
  ibrav = 0, nat = 6, ntyp = 3
/
ATOMIC_SPECIES
Ac 227.00 Ac.upf
Ta 180.95 Ta.upf
In 114.82 In.upf
CELL_PARAMETERS angstrom
16.3781 0.0000 0.0000
0.0000 1.6803 2.9085
0.0000 -1.6803 2.9085
ATOMIC_POSITIONS angstrom
Ac 3.0856 0.0000 0.0000
Ac 13.2924 0.0000 0.0000
Ta 5.8437 0.0000 3.8716
Ta 10.5344 0.0000 3.8716
In 0.0000 0.0000 3.8779
In 8.1890 0.0000 5.8100



Question: volume of number 2 (KLaCl)?
Answer: 100.3 Å³/cell